# Tb4Nd5Y4

A relaxed Tb4Nd5Y4 crystal (GGA-PBE, Alexandria).

a b c (Å): 5.0962 9.5634 9.5634
angles (deg): 85.93 74.55 74.55
With the nearest neighbours (Å) after each atom.
Sites, in units of the cell vectors:
Tb (0.7678, 0.3869, 0.0775)  6 Nd 3.58-3.64, 2 Tb 3.59, 4 Y 3.60-3.63
Tb (0.2322, 0.6131, 0.9225)  6 Nd 3.58-3.64, 2 Tb 3.59, 4 Y 3.60-3.63
Tb (0.8453, 0.9225, 0.3869)  6 Nd 3.58-3.64, 2 Tb 3.59, 4 Y 3.60-3.63
Tb (0.1547, 0.0775, 0.6131)  6 Nd 3.58-3.64, 2 Tb 3.59, 4 Y 3.60-3.63
Nd (0.6937, 0.8455, 0.7672)  5 Tb 3.58-3.62, 3 Y 3.60, 4 Nd 3.62-3.64
Nd (0.3063, 0.1545, 0.2328)  5 Tb 3.58-3.62, 3 Y 3.60, 4 Nd 3.62-3.64
Nd (0.0000, 0.0000, 0.0000)  8 Nd 3.62, 4 Tb 3.64
Nd (0.5392, 0.7672, 0.1545)  5 Tb 3.58-3.62, 3 Y 3.60, 4 Nd 3.62-3.64
Nd (0.4608, 0.2328, 0.8455)  5 Tb 3.58-3.62, 3 Y 3.60, 4 Nd 3.62-3.64
Y (0.9234, 0.4619, 0.6914)  5 Y 3.60, 3 Nd 3.60, 4 Tb 3.60-3.63
Y (0.6148, 0.3086, 0.4619)  5 Y 3.60, 3 Nd 3.60, 4 Tb 3.60-3.63
Y (0.0766, 0.5381, 0.3086)  5 Y 3.60, 3 Nd 3.60, 4 Tb 3.60-3.63
Y (0.3852, 0.6914, 0.5381)  5 Y 3.60, 3 Nd 3.60, 4 Tb 3.60-3.63

Properties
V: 33.3 Å³ per atom
Calculated formation energy: 16 meV/atom
Electronic total energy: -5.231 eV per atom
SG: I4/m
D(E_F): 18.74 states/eV per cell